1.
A relaxed La2Ce3Pt2 crystal, computed with GGA-PBE.

```
7
Lattice="3.8877 0.0000 0.0000 -1.9439 6.0365 -0.2833 0.0000 -3.0965 8.4863" Properties=species:S:1:pos:R:3 pbc="T T T"
Pt 0.0000 1.0723 1.9025
Pt 1.9439 1.8677 6.3006
Ce 1.9439 -0.0560 3.7399
Ce 0.0000 2.9960 4.4631
Ce 1.9439 0.0000 0.0000
La 0.0000 -0.5642 6.8207
La 1.9439 3.5043 1.3823
```

Summary:
For the energy of formation from the pure elements, the calculation gives -0.631 eV per atom. Its density of states at the Fermi level is 2.46 states/eV/atom.


2.
A relaxed Er3Cu5O12 crystal, computed with GGA-PBE.

```
80
Lattice="-10.2720 0.4547 -2.6816 3.2340 -10.1217 -0.0688 1.3043 4.0691 9.7290" Properties=species:S:1:pos:R:3 pbc="T T T"
O -8.3440 -2.1399 0.2553
O -7.4091 -0.6920 2.1849
O -5.5328 -8.6635 -1.9666
O -3.1503 1.3297 4.6370
O 2.6154 -7.6162 3.3638
O -2.4230 -3.6236 -0.2698
O -0.5946 2.1537 6.3871
O 2.1826 -8.7741 0.9139
O -2.5067 -6.2069 -0.3874
O -4.6158 -2.0101 3.9429
O 2.6103 -3.4579 6.7233
O -5.9230 -1.7671 6.4337
O -3.6395 1.1906 2.1002
O -1.0897 -4.2846 7.1918
O -2.2099 -1.2452 4.5098
O -5.9086 0.7923 6.8127
O -0.2009 3.0657 8.9452
O -5.7537 -4.7250 5.2109
O -4.6440 -1.3133 -0.2133
O -8.3491 2.0183 3.6147
O 0.0200 -0.8729 1.7677
O 1.6754 -4.9059 4.7936
O -5.1391 -7.7516 0.5915
O -0.2468 -6.1866 3.1697
O -5.9361 -5.8025 2.6937
O -3.5238 -4.3526 2.4688
O 0.4389 -2.7484 5.5084
O 0.3279 -6.3855 6.6712
O -7.9163 3.1762 6.0647
O -1.1179 -3.5878 3.0356
O -2.9496 -1.4648 2.0401
O -2.5834 -6.9275 2.3415
O -2.0942 -6.7885 4.8784
O -7.7935 -4.8706 -0.9625
O -3.3107 -1.9743 7.2483
O 1.0515 -4.7721 8.5600
O -6.1726 -2.8495 1.4702
O -5.1421 -4.8319 -0.2560
O 0.1749 -6.3902 0.1658
O 0.1893 -3.8308 0.5448
O -6.0616 0.7877 0.3073
O 2.0598 -0.7272 7.9411
O -5.4869 0.5887 3.8088
O -6.7852 -0.8258 -1.5815
O -2.7841 -4.1331 4.9384
O -0.5916 -0.7660 7.2346
O -3.2270 0.6091 7.3659
O 0.2024 0.2046 4.2849
Cu 0.4248 -8.2341 0.4855
Cu -5.1936 -4.4591 1.5941
Cu -6.1585 2.6363 6.4930
Cu 2.2691 -3.0263 4.8301
Cu 0.6521 2.0346 4.8645
Cu -2.8805 -1.8513 0.1933
Cu -7.3643 0.4106 3.7170
Cu -2.8532 -3.7466 6.7852
Cu -4.4838 2.2619 3.5237
Cu -0.5401 -1.1388 5.3844
Cu -3.2642 -7.5550 0.6960
Cu -5.1360 0.2273 -1.3408
Cu -5.9885 -2.8764 4.9073
Cu -2.4695 1.9571 6.2825
Cu 0.0000 0.0000 0.0000
Cu -2.8668 -2.7989 3.4893
Cu 1.6306 -6.0085 3.2616
Cu 0.2548 -2.7215 2.0712
Cu 1.6170 -5.0608 -0.0344
Cu -3.5190 -4.8335 -1.3752
Er -5.1224 -0.7203 1.9551
Er -1.5047 -5.1383 1.3836
Er 2.5240 -5.7478 6.9013
Er 0.6658 1.0869 8.1604
Er 0.5945 -2.6519 7.7994
Er -8.2577 0.1499 0.0772
Er -6.3282 -2.9460 -0.8209
Er -1.6746 0.3744 2.9694
Er -0.6113 -4.8775 5.0234
Er -6.3995 -6.6848 -1.1819
Er -4.2290 -0.4596 5.5949
Er -4.0591 -5.9723 4.0092
```

Summary:
The value obtained for the uncorrected formation energy is -1563 meV per atom. Its density of states at the Fermi level is 0.80 states/eV/atom.


| no. | total magnetic moment (μB per cell) | raw total energy (eV for the cell shown) | theoretical density (Mg/m³) |
| --- | --- | --- | --- |
| 1 | 2.01 | -44.2 | 9.23 |
| 2 | 2.73 | -499.7 | 7.27 |